## 1
Crystalline Pr4Dy2Ho at its relaxed geometry. Source: the Alexandria database, functional PBE-GGA. Values from VASP.

Values from the calculation:
- space-group type = No. 11
- crystal system = monoclinic
- D(E_F) (states/eV/cell) = 21.25
- total moment (μB/atom) = 0.00

Geometry as Quantum ESPRESSO input:
```
&SYSTEM
  ibrav = 0, nat = 14, ntyp = 3
/
ATOMIC_SPECIES
Pr 140.91 Pr.upf
Dy 162.50 Dy.upf
Ho 164.93 Ho.upf
CELL_PARAMETERS angstrom
6.252 0.000 -0.285
0.000 6.718 0.000
-2.396 0.000 11.481
ATOMIC_POSITIONS crystal
Pr 0.152 0.750 0.450
Pr 0.040 0.750 0.865
Dy 0.287 0.250 0.423
Ho 0.853 0.250 0.838
Pr 0.645 0.989 0.284
Dy 0.393 0.250 0.005
Pr 0.355 0.011 0.716
Ho 0.147 0.750 0.162
Pr 0.960 0.250 0.135
Pr 0.645 0.511 0.284
Dy 0.713 0.750 0.577
Dy 0.607 0.750 0.995
Pr 0.848 0.250 0.550
Pr 0.355 0.489 0.716
```



## 2
Crystalline Pr4Dy2Ho at its relaxed geometry. Source: the Alexandria database, functional PBE-GGA. Values from VASP.

Values from the calculation:
- space-group type = No. 43
- crystal system = orthorhombic
- D(E_F) (states/eV/cell) = 21.55
- total moment (μB/atom) = 0.00

Geometry as Quantum ESPRESSO input:
```
&SYSTEM
  ibrav = 0, nat = 14, ntyp = 3
/
ATOMIC_SPECIES
Pr 140.91 Pr.upf
Ho 164.93 Ho.upf
Dy 162.50 Dy.upf
CELL_PARAMETERS angstrom
-9.413 -1.540 -8.315
12.281 1.780 2.474
-0.600 -6.106 3.085
ATOMIC_POSITIONS crystal
Pr 0.712 0.174 0.864
Ho 0.420 0.670 0.500
Dy 0.103 0.922 0.548
Pr 0.796 0.186 0.398
Pr 0.174 0.712 0.364
Ho 0.670 0.420 0.000
Pr 0.039 0.148 0.602
Pr 0.599 0.561 0.637
Pr 0.186 0.796 0.898
Dy 0.624 0.306 0.453
Dy 0.306 0.624 0.953
Pr 0.561 0.599 0.137
Pr 0.148 0.039 0.102
Dy 0.922 0.103 0.048
```



2 is the most stable structure; the next one sits 0.062 eV/atom above it.



## 1
Crystalline Pr8DyHo6 at its relaxed geometry. Source: the Alexandria database, functional PBE-GGA. Values from VASP.

Values from the calculation:
- space-group type = No. 148
- crystal system = trigonal
- D(E_F) (states/eV/cell) = 22.44
- total moment (μB/atom) = 0.00

Geometry as Quantum ESPRESSO input:
```
&SYSTEM
  ibrav = 0, nat = 15, ntyp = 3
/
ATOMIC_SPECIES
Pr 140.91 Pr.upf
Dy 162.50 Dy.upf
Ho 164.93 Ho.upf
CELL_PARAMETERS angstrom
9.905 0.000 0.000
4.953 8.578 0.000
4.953 2.859 6.003
ATOMIC_POSITIONS crystal
Pr 0.066 0.645 0.515
Dy 0.000 0.000 0.000
Ho 0.285 0.612 0.030
Ho 0.715 0.388 0.970
Pr 0.587 0.587 0.238
Pr 0.774 0.066 0.515
Ho 0.927 0.715 0.970
Ho 0.612 0.073 0.030
Pr 0.355 0.226 0.485
Pr 0.645 0.774 0.515
Ho 0.388 0.927 0.970
Pr 0.413 0.413 0.762
Ho 0.073 0.285 0.030
Pr 0.226 0.934 0.485
Pr 0.934 0.355 0.485
```



## 2
Crystalline Pr8DyHo6 at its relaxed geometry. Source: the Alexandria database, functional PBE-GGA. Values from VASP.

Values from the calculation:
- space-group type = No. 147
- crystal system = trigonal
- D(E_F) (states/eV/cell) = 23.46
- total moment (μB/atom) = 0.00

Geometry as Quantum ESPRESSO input:
```
&SYSTEM
  ibrav = 0, nat = 15, ntyp = 3
/
ATOMIC_SPECIES
Pr 140.91 Pr.upf
Ho 164.93 Ho.upf
Dy 162.50 Dy.upf
CELL_PARAMETERS angstrom
6.607 0.000 0.000
0.000 8.207 -4.738
0.000 0.000 9.476
ATOMIC_POSITIONS crystal
Pr 0.168 0.288 0.250
Pr 0.168 0.962 0.712
Pr 0.880 0.333 0.667
Ho 0.343 0.562 0.657
Ho 0.343 0.095 0.438
Pr 0.120 0.667 0.333
Ho 0.657 0.657 0.095
Pr 0.832 0.250 0.962
Dy 0.500 0.000 0.000
Ho 0.343 0.343 0.905
Pr 0.168 0.750 0.038
Ho 0.657 0.438 0.343
Pr 0.832 0.712 0.750
Ho 0.657 0.905 0.562
Pr 0.832 0.038 0.288
```



1 is the most stable structure; the next one sits 0.007 eV/atom above it.



## 1
Crystalline PrSmDyHo at its relaxed geometry. Source: the Alexandria database, functional PBE-GGA. Values from VASP.

Values from the calculation:
- space-group type = No. 119
- crystal system = tetragonal
- D(E_F) (states/eV/cell) = 5.63
- total moment (μB/atom) = 0.00

Geometry as Quantum ESPRESSO input:
```
&SYSTEM
  ibrav = 0, nat = 4, ntyp = 4
/
ATOMIC_SPECIES
Sm 150.36 Sm.upf
Dy 162.50 Dy.upf
Ho 164.93 Ho.upf
Pr 140.91 Pr.upf
CELL_PARAMETERS angstrom
-1.513 -3.238 -3.642
4.497 0.543 -2.351
0.379 -2.541 5.677
ATOMIC_POSITIONS crystal
Sm 0.946 0.946 0.891
Dy 0.446 0.446 0.891
Ho 0.196 0.696 0.391
Pr 0.696 0.196 0.391
```



## 2
Crystalline PrSmDyHo at its relaxed geometry. Source: the Alexandria database, functional PBE-GGA. Values from VASP.

Values from the calculation:
- space-group type = No. 216
- crystal system = cubic
- D(E_F) (states/eV/cell) = 7.88
- total moment (μB/atom) = 0.00

Geometry as Quantum ESPRESSO input:
```
&SYSTEM
  ibrav = 0, nat = 4, ntyp = 4
/
ATOMIC_SPECIES
Dy 162.50 Dy.upf
Pr 140.91 Pr.upf
Sm 150.36 Sm.upf
Ho 164.93 Ho.upf
CELL_PARAMETERS angstrom
5.734 0.000 0.000
2.867 4.965 0.000
2.867 1.655 4.681
ATOMIC_POSITIONS crystal
Dy 0.500 0.500 0.500
Pr 0.750 0.750 0.750
Sm 0.250 0.250 0.250
Ho 0.000 0.000 0.000
```



1 is the most stable structure; the next one sits 0.099 eV/atom above it.



## 1
Crystalline PrDyHoTh at its relaxed geometry. Source: the Alexandria database, functional PBE-GGA. Values from VASP.

Values from the calculation:
- space-group type = No. 216
- crystal system = cubic
- D(E_F) (states/eV/cell) = 8.31
- total moment (μB/atom) = 0.00

Geometry as Quantum ESPRESSO input:
```
&SYSTEM
  ibrav = 0, nat = 4, ntyp = 4
/
ATOMIC_SPECIES
Th 232.04 Th.upf
Dy 162.50 Dy.upf
Ho 164.93 Ho.upf
Pr 140.91 Pr.upf
CELL_PARAMETERS angstrom
5.707 0.000 0.000
2.853 4.942 0.000
2.853 1.647 4.660
ATOMIC_POSITIONS crystal
Th 0.750 0.750 0.750
Dy 0.500 0.500 0.500
Ho 0.000 0.000 0.000
Pr 0.250 0.250 0.250
```



## 2
Crystalline PrDyHoTh at its relaxed geometry. Source: the Alexandria database, functional PBE-GGA. Values from VASP.

Values from the calculation:
- space-group type = No. 160
- crystal system = trigonal
- D(E_F) (states/eV/cell) = 5.87
- total moment (μB/atom) = 0.00

Geometry as Quantum ESPRESSO input:
```
&SYSTEM
  ibrav = 0, nat = 4, ntyp = 4
/
ATOMIC_SPECIES
Th 232.04 Th.upf
Pr 140.91 Pr.upf
Dy 162.50 Dy.upf
Ho 164.93 Ho.upf
CELL_PARAMETERS angstrom
-3.072 1.714 0.776
1.879 -1.602 2.622
7.350 9.217 0.363
ATOMIC_POSITIONS crystal
Th 0.302 0.549 0.867
Pr 0.969 0.383 0.368
Dy 0.476 0.136 0.626
Ho 0.131 0.963 0.108
```



2 is the most stable structure; the next one sits 0.124 eV/atom above it.



## 1
Crystalline PrDyHoTl at its relaxed geometry. Source: the Alexandria database, functional PBE-GGA. Values from VASP.

Values from the calculation:
- space-group type = No. 47
- crystal system = orthorhombic
- D(E_F) (states/eV/cell) = 5.96
- total moment (μB/atom) = 0.04

Geometry as Quantum ESPRESSO input:
```
&SYSTEM
  ibrav = 0, nat = 4, ntyp = 4
/
ATOMIC_SPECIES
Tl 204.38 Tl.upf
Dy 162.50 Dy.upf
Pr 140.91 Pr.upf
Ho 164.93 Ho.upf
CELL_PARAMETERS angstrom
4.948 0.000 0.000
0.000 4.846 0.000
0.000 0.000 4.927
ATOMIC_POSITIONS crystal
Tl 0.000 0.000 0.000
Dy 0.500 0.500 0.000
Pr 0.500 0.000 0.500
Ho 0.000 0.500 0.500
```



## 2
Crystalline PrDyHoTl at its relaxed geometry. Source: the Alexandria database, functional PBE-GGA. Values from VASP.

Values from the calculation:
- space-group type = No. 216
- crystal system = cubic
- D(E_F) (states/eV/cell) = 5.17
- total moment (μB/atom) = 0.31

Geometry as Quantum ESPRESSO input:
```
&SYSTEM
  ibrav = 0, nat = 4, ntyp = 4
/
ATOMIC_SPECIES
Tl 204.38 Tl.upf
Ho 164.93 Ho.upf
Pr 140.91 Pr.upf
Dy 162.50 Dy.upf
CELL_PARAMETERS angstrom
5.538 0.000 0.000
2.769 4.796 0.000
2.769 1.599 4.521
ATOMIC_POSITIONS crystal
Tl 0.000 0.000 0.000
Ho 0.500 0.500 0.500
Pr 0.250 0.250 0.250
Dy 0.750 0.750 0.750
```



1 is the most stable structure; the next one sits 0.133 eV/atom above it.



## 1
Crystalline PrDyHoTm at its relaxed geometry. Source: the Alexandria database, functional PBE-GGA. Values from VASP.

Values from the calculation:
- space-group type = No. 25
- crystal system = orthorhombic
- D(E_F) (states/eV/cell) = 7.98
- total moment (μB/atom) = 0.00

Geometry as Quantum ESPRESSO input:
```
&SYSTEM
  ibrav = 0, nat = 4, ntyp = 4
/
ATOMIC_SPECIES
Tm 168.93 Tm.upf
Pr 140.91 Pr.upf
Dy 162.50 Dy.upf
Ho 164.93 Ho.upf
CELL_PARAMETERS angstrom
3.439 0.000 0.000
0.000 6.500 1.775
0.000 -1.479 5.416
ATOMIC_POSITIONS crystal
Tm 0.500 0.702 0.016
Pr 0.000 0.451 0.516
Dy 0.000 0.193 0.016
Ho 0.000 0.934 0.516
```



## 2
Crystalline PrDyHoTm at its relaxed geometry. Source: the Alexandria database, functional PBE-GGA. Values from VASP.

Values from the calculation:
- space-group type = No. 216
- crystal system = cubic
- D(E_F) (states/eV/cell) = 6.89
- total moment (μB/atom) = 0.00

Geometry as Quantum ESPRESSO input:
```
&SYSTEM
  ibrav = 0, nat = 4, ntyp = 4
/
ATOMIC_SPECIES
Tm 168.93 Tm.upf
Pr 140.91 Pr.upf
Ho 164.93 Ho.upf
Dy 162.50 Dy.upf
CELL_PARAMETERS angstrom
-2.432 -4.868 -1.648
-0.779 -4.201 3.751
-5.246 -1.297 1.766
ATOMIC_POSITIONS crystal
Tm 0.500 0.500 0.500
Pr 0.250 0.250 0.250
Ho 0.000 0.000 0.000
Dy 0.750 0.750 0.750
```



2 is the most stable structure; the next one sits 0.073 eV/atom above it.